Below is a relaxed La2PmTc crystal, with properties calculated at the PBE-GGA level.

Cell: 3.565 3.565 9.253 Å, 90.00 90.00 90.00°
Element x y z (fractional)
1 La 0.000 0.000 0.810
2 La 0.000 0.000 0.190
3 Tc 0.500 0.500 0.000
4 Pm 0.500 0.500 0.500

Output
space group = P4/mmm
DFT formation energy = 0.1312 eV/atom